# 1
{"formula": "Pr8TlGe3I4", "functional": "PBE", "state": "relaxed", "sg": "R-3m (166)", "lattice": [[4.4585, 2.5741, 7.6665], [-4.4585, 2.5741, 7.6665], [0.0000, -5.1482, 7.6665]], "species": ["Pr", "Pr", "Pr", "Pr", "Pr", "Pr", "Pr", "Pr", "Tl", "Ge", "Ge", "Ge", "I", "I", "I", "I"], "fractional_positions": [[0.2249, 0.7417, 0.7417], [0.2334, 0.2334, 0.2334], [0.2583, 0.2583, 0.7751], [0.2583, 0.7751, 0.2583], [0.7417, 0.2249, 0.7417], [0.7417, 0.7417, 0.2249], [0.7666, 0.7666, 0.7666], [0.7751, 0.2583, 0.2583], [0.5000, 0.5000, 0.5000], [0.0000, 0.0000, 0.5000], [0.0000, 0.5000, 0.0000], [0.5000, 0.0000, 0.0000], [0.0000, 0.0000, 0.0000], [0.0000, 0.5000, 0.5000], [0.5000, 0.0000, 0.5000], [0.5000, 0.5000, 0.0000]]}

# 2
{"formula": "Pr8ZnGe3I4", "functional": "PBE", "state": "relaxed", "sg": "R-3m (166)", "lattice": [[4.3978, 2.5391, 7.6682], [-4.3978, 2.5391, 7.6682], [0.0000, -5.0781, 7.6682]], "species": ["Pr", "Pr", "Pr", "Pr", "Pr", "Pr", "Pr", "Pr", "Zn", "Ge", "Ge", "Ge", "I", "I", "I", "I"], "fractional_positions": [[0.2340, 0.2340, 0.2340], [0.2343, 0.7361, 0.7361], [0.2639, 0.2639, 0.7657], [0.2639, 0.7657, 0.2639], [0.7361, 0.2343, 0.7361], [0.7361, 0.7361, 0.2343], [0.7657, 0.2639, 0.2639], [0.7660, 0.7660, 0.7660], [0.5000, 0.5000, 0.5000], [0.0000, 0.0000, 0.5000], [0.0000, 0.5000, 0.0000], [0.5000, 0.0000, 0.0000], [0.0000, 0.0000, 0.0000], [0.0000, 0.5000, 0.5000], [0.5000, 0.0000, 0.5000], [0.5000, 0.5000, 0.0000]]}

Number 1: raw formation energy -0.923 eV/atom. Number 2: raw formation energy -0.908 eV/atom.